(1)
The following is a PBE calculation of a relaxed Th3Br crystal, from Alexandria.

Properties
formation energy from raw total energies = 0.082 eV per atom
SG = I4/mmm (139)

```
8
Lattice="4.908 0.000 0.000 0.000 4.908 0.000 0.000 0.000 9.993" Properties=species:S:1:pos:R:3 pbc="T T T"
Th 0.000 0.000 0.000
Th 0.000 2.454 2.498
Th 0.000 2.454 7.495
Th 2.454 0.000 2.498
Th 2.454 0.000 7.495
Th 2.454 2.454 4.997
Br 0.000 0.000 4.997
Br 2.454 2.454 0.000
```


(2)
The following is a PBE calculation of a relaxed SmBe17Co crystal, from Alexandria.

Properties
SG = R3m (160)

```
19
Lattice="3.774 2.179 3.642 -3.774 2.179 3.642 0.000 -4.358 3.642" Properties=species:S:1:pos:R:3 pbc="T T T"
Sm 0.000 0.000 0.000
Be -1.164 -1.878 3.789
Be -2.208 -0.069 3.789
Be -1.732 -1.000 5.798
Be 0.000 0.000 2.761
Be 0.000 -2.227 5.584
Be -1.929 1.114 5.584
Be 1.164 -1.878 3.789
Be -1.044 1.947 3.789
Be 0.000 0.000 4.868
Be -1.855 -1.071 9.100
Be 2.208 -0.069 3.789
Be 1.044 1.947 3.789
Be 1.732 -1.000 5.798
Be 0.000 2.000 5.798
Be 1.929 1.114 5.584
Be 1.855 -1.071 9.100
Be 0.000 2.141 9.100
Co 0.000 0.000 7.157
```


(3)
The following is a PBE calculation of a relaxed Sm2YSi6 crystal, from Alexandria.

Properties
formation energy from raw total energies = -0.555 eV per atom
SG = P6/mmm (191)

```
9
Lattice="7.128 0.000 0.000 -3.564 6.173 0.000 0.000 0.000 4.041" Properties=species:S:1:pos:R:3 pbc="T T T"
Sm 0.000 4.116 0.000
Sm 3.564 2.058 0.000
Y 0.000 0.000 0.000
Si -1.184 2.050 2.020
Si -2.381 4.123 2.020
Si 2.367 0.000 2.020
Si 1.184 2.050 2.020
Si 4.761 0.000 2.020
Si 2.381 4.123 2.020
```


(4)
The following is a PBE calculation of a relaxed Pm5Nd5Y crystal, from Alexandria.

Properties
offset from the most stable computed form = 0.159 eV/atom
SG = P-6m2 (187)

```
11
Lattice="6.243 0.000 0.000 -3.122 5.407 0.000 0.000 0.000 11.666" Properties=species:S:1:pos:R:3 pbc="T T T"
Pm 0.000 0.000 0.000
Pm 0.000 3.604 3.713
Pm 0.000 3.604 7.953
Pm 3.122 1.802 1.847
Pm 3.122 1.802 9.819
Nd 0.000 0.000 3.077
Nd 0.000 0.000 8.589
Nd 1.589 0.917 5.833
Nd 4.654 0.917 5.833
Nd 3.122 3.572 5.833
Y 0.000 3.604 0.000
```


(5)
The following is a PBE calculation of a relaxed Zn2FeIr crystal, from Alexandria.

Properties
SG = Cm (8)

```
8
Lattice="8.830 0.000 0.000 0.000 2.808 0.000 -0.923 0.000 4.427" Properties=species:S:1:pos:R:3 pbc="T T T"
Zn 0.000 0.000 0.000
Zn 1.457 0.000 3.335
Zn 4.415 1.404 0.000
Zn 5.872 1.404 3.335
Fe 1.967 1.404 1.162
Fe 6.382 0.000 1.162
Ir 3.908 0.000 2.177
Ir 8.322 1.404 2.177
```


(6)
The following is a PBE calculation of a relaxed Cs7Rb2F2 crystal, from Alexandria.

Properties
formation energy from raw total energies = -0.935 eV per atom
SG = C2/m (12)

```
11
Lattice="6.278 -7.839 0.000 6.278 7.839 0.000 -0.729 0.000 9.470" Properties=species:S:1:pos:R:3 pbc="T T T"
Cs 0.000 0.000 0.000
Cs 3.249 2.194 8.043
Cs 3.699 0.000 2.768
Cs 3.249 -2.194 8.043
Cs 8.577 2.194 1.427
Cs 8.127 0.000 6.702
Cs 8.577 -2.194 1.427
Rb 5.913 4.940 4.735
Rb 5.913 -4.940 4.735
F 2.947 0.000 0.017
F 8.879 0.000 9.453
```


(7)
The following is a PBE calculation of a relaxed Er3ZnHg2 crystal, from Alexandria.

Properties
offset from the most stable computed form = 0.000 eV/atom
SG = P4/mmm (123)

```
6
Lattice="3.620 0.000 0.000 0.000 3.620 0.000 0.000 0.000 11.030" Properties=species:S:1:pos:R:3 pbc="T T T"
Er 0.000 0.000 0.000
Er 0.000 0.000 3.804
Er 0.000 0.000 7.227
Zn 1.810 1.810 5.515
Hg 1.810 1.810 1.918
Hg 1.810 1.810 9.112
```


(8)
The following is a PBE calculation of a relaxed ZnB3Ru crystal, from Alexandria.

Properties
offset from the most stable computed form = 0.998 eV/atom
SG = Pm-3m (221)

```
5
Lattice="3.843 0.000 0.000 0.000 3.843 0.000 0.000 0.000 3.843" Properties=species:S:1:pos:R:3 pbc="T T T"
Zn 0.000 0.000 0.000
B 0.000 0.000 1.921
B 0.000 1.921 0.000
B 1.921 0.000 0.000
Ru 1.921 1.921 1.921
```


(9)
The following is a PBE calculation of a relaxed Mg7Ga3 crystal, from Alexandria.

Properties
offset from the most stable computed form = 0.000 eV/atom
SG = C2/m (12)

```
10
Lattice="7.566 -2.292 0.000 7.566 2.292 0.000 -1.457 0.000 5.908" Properties=species:S:1:pos:R:3 pbc="T T T"
Mg 0.000 0.000 0.000
Mg 2.149 0.000 3.864
Mg 5.539 0.000 0.694
Mg 5.307 0.000 3.814
Mg 8.367 0.000 2.094
Mg 8.135 0.000 5.214
Mg 11.525 0.000 2.045
Ga -0.729 0.000 2.954
Ga 2.625 0.000 1.004
Ga 11.049 0.000 4.904
```


(10)
The following is a PBE calculation of a relaxed Nd4TlI crystal, from Alexandria.

Properties
formation energy from raw total energies = -0.269 eV per atom
SG = P-1 (2)

```
12
Lattice="7.104 0.000 0.000 -0.025 7.297 0.000 -3.537 -2.263 7.853" Properties=species:S:1:pos:R:3 pbc="T T T"
Nd -0.944 -0.150 2.589
Nd -1.012 0.955 6.577
Nd 0.950 3.497 2.579
Nd 2.548 0.439 1.280
Nd 0.994 4.595 6.573
Nd 2.592 1.537 5.274
Nd 4.553 4.079 1.276
Nd 4.486 5.184 5.264
Tl 0.309 5.478 0.001
Tl 3.232 -0.443 7.852
I -1.781 2.517 3.927
I 1.784 -1.132 3.927
```


(11)
The following is a PBE calculation of a relaxed Ti2TcBiPb crystal, from Alexandria.

Properties
SG = P4/mmm (123)

```
5
Lattice="5.156 0.000 0.000 0.000 5.156 0.000 0.000 0.000 5.778" Properties=species:S:1:pos:R:3 pbc="T T T"
Ti 0.000 2.578 0.000
Ti 2.578 0.000 0.000
Tc 0.000 0.000 2.889
Bi 2.578 2.578 2.889
Pb 2.578 2.578 0.000
```


(12)
The following is a PBE calculation of a relaxed SrCd2I2 crystal, from Alexandria.

Properties
offset from the most stable computed form = 0.174 eV/atom
formation energy from raw total energies = -0.613 eV per atom
SG = P4/mbm (127)

```
10
Lattice="8.544 0.000 0.000 0.000 8.544 0.000 0.000 0.000 6.518" Properties=species:S:1:pos:R:3 pbc="T T T"
Sr 0.000 0.000 0.000
Sr 4.272 4.272 0.000
Cd 1.122 3.150 3.259
Cd 3.150 7.422 3.259
Cd 5.394 1.122 3.259
Cd 7.422 5.394 3.259
I 1.427 5.699 0.000
I 2.845 1.427 0.000
I 5.699 7.116 0.000
I 7.116 2.845 0.000
```


(13)
The following is a PBE calculation of a relaxed LiAcSnRu crystal, from Alexandria.

Properties
SG = F-43m (216)

```
16
Lattice="7.033 0.000 0.000 0.000 7.033 0.000 0.000 0.000 7.033" Properties=species:S:1:pos:R:3 pbc="T T T"
Li 0.000 0.000 0.000
Li 0.000 3.517 3.517
Li 3.517 0.000 3.517
Li 3.517 3.517 0.000
Ac 1.758 1.758 5.275
Ac 1.758 5.275 1.758
Ac 5.275 1.758 1.758
Ac 5.275 5.275 5.275
Sn 1.758 1.758 1.758
Sn 1.758 5.275 5.275
Sn 5.275 1.758 5.275
Sn 5.275 5.275 1.758
Ru 0.000 0.000 3.517
Ru 0.000 3.517 0.000
Ru 3.517 0.000 0.000
Ru 3.517 3.517 3.517
```


(14)
The following is a PBE calculation of a relaxed K3HfI crystal, from Alexandria.

Properties
offset from the most stable computed form = 0.000 eV/atom
formation energy from raw total energies = 0.532 eV per atom
SG = Pm-3m (221)

```
5
Lattice="6.581 0.000 0.000 0.000 6.581 0.000 0.000 0.000 6.581" Properties=species:S:1:pos:R:3 pbc="T T T"
K 0.000 0.000 3.291
K 0.000 3.291 0.000
K 3.291 0.000 0.000
Hf 3.291 3.291 3.291
I 0.000 0.000 0.000
```


(15)
The following is a PBE calculation of a relaxed NaPuZn2O6 crystal, from Alexandria.

Properties
formation energy from raw total energies = -1.821 eV per atom
SG = C2/c (15)

```
20
Lattice="5.553 -4.778 0.000 5.553 4.778 0.000 -2.293 0.000 5.837" Properties=species:S:1:pos:R:3 pbc="T T T"
Na 3.834 3.882 4.378
Na 4.980 -3.882 1.459
Pu 4.980 2.245 1.459
Pu 3.834 -2.245 4.378
Zn 1.314 0.625 5.141
Zn 2.460 -0.625 2.222
Zn 6.353 0.625 3.615
Zn 7.500 -0.625 0.696
O -0.321 1.038 4.217
O 2.594 2.219 5.376
O 0.826 -1.038 1.298
O 3.491 0.731 1.308
O 5.073 2.219 3.379
O 2.345 -0.731 4.227
O 6.469 0.731 1.610
O 3.741 -2.219 2.458
O 5.322 -0.731 4.528
O 7.988 1.038 4.539
O 6.219 -2.219 0.460
O 9.135 -1.038 1.620
```


(16)
The following is a PBE calculation of a relaxed Ga4Bi2Au9 crystal, from Alexandria.

Properties
SG = P-3m1 (164)

```
15
Lattice="4.374 0.000 0.000 -2.187 3.788 0.000 0.000 0.000 18.693" Properties=species:S:1:pos:R:3 pbc="T T T"
Ga 0.000 2.525 1.793
Ga 0.000 2.525 7.123
Ga 2.187 1.263 11.570
Ga 2.187 1.263 16.900
Bi 0.000 2.525 14.280
Bi 2.187 1.263 4.414
Au 0.000 0.000 2.694
Au 0.000 0.000 6.081
Au 0.000 0.000 9.347
Au 0.000 0.000 12.612
Au 0.000 0.000 15.999
Au 0.000 2.525 10.671
Au 0.000 2.525 17.818
Au 2.187 1.263 0.876
Au 2.187 1.263 8.023
```


(17)
The following is a PBE calculation of a relaxed Mn2SiPt crystal, from Alexandria.

Properties
formation energy from raw total energies = -0.311 eV per atom
SG = Amm2 (38)

```
8
Lattice="3.605 0.000 0.000 0.000 2.812 0.000 0.000 0.000 10.800" Properties=species:S:1:pos:R:3 pbc="T T T"
Mn 0.000 0.000 0.000
Mn 0.000 1.406 5.400
Mn 1.803 0.000 3.885
Mn 1.803 1.406 9.285
Si 0.000 0.000 8.376
Si 0.000 1.406 2.976
Pt 1.803 0.000 6.742
Pt 1.803 1.406 1.343
```


(18)
The following is a PBE calculation of a relaxed MgZnPt2 crystal, from Alexandria.

Properties
SG = Immm (71)

```
8
Lattice="2.798 0.000 0.000 0.000 4.767 0.000 0.000 0.000 10.325" Properties=species:S:1:pos:R:3 pbc="T T T"
Mg 0.000 0.000 0.000
Mg 1.399 2.383 5.162
Zn 0.000 0.000 5.162
Zn 1.399 2.383 0.000
Pt 0.000 0.000 2.658
Pt 0.000 0.000 7.666
Pt 1.399 2.383 2.504
Pt 1.399 2.383 7.821
```


(19)
The following is a PBE calculation of a relaxed PmGeH crystal, from Alexandria.

Properties
offset from the most stable computed form = 0.317 eV/atom
SG = P3m1 (156)

```
3
Lattice="3.724 0.000 0.000 -1.862 3.225 0.000 0.000 0.000 4.780" Properties=species:S:1:pos:R:3 pbc="T T T"
Pm 0.000 0.000 0.000
Ge 1.862 1.075 2.390
H 0.000 2.150 4.772
```


Number 1: DFT total energy -0.2169 hartree per atom. Number 2: DFT total energy -0.1458 hartree per atom. Number 3: DFT total energy -0.2182 hartree per atom. Number 4: DFT total energy -0.1697 hartree per atom. Number 5: DFT total energy -0.1844 hartree per atom. Number 6: DFT total energy -0.0733 hartree per atom. Number 7: DFT total energy -0.1113 hartree per atom. Number 8: DFT total energy -0.1500 hartree per atom. Number 9: DFT total energy -0.0781 hartree per atom. Number 10: DFT total energy -0.1507 hartree per atom. Number 11: DFT total energy -0.1834 hartree per atom. Number 12: DFT total energy -0.0711 hartree per atom. Number 13: DFT total energy -0.1851 hartree per atom. Number 14: DFT total energy -0.0892 hartree per atom. Number 15: DFT total energy -0.2431 hartree per atom. Number 16: DFT total energy -0.1235 hartree per atom. Number 17: DFT total energy -0.2852 hartree per atom. Number 18: DFT total energy -0.1409 hartree per atom. Number 19: DFT total energy -0.1723 hartree per atom.